(1)
Below is LaAlZnPt3 after structural relaxation, with properties calculated at the PBE-GGA level.

Output
- E_form (eV per atom) = -0.763
- SG = Cmcm
- VASP energy (eV/atom) = -5.4412

```
LaAlZnPt3
1.0
-3.174 -4.807 -0.067
5.803 -3.833 0.137
-3.040 1.924 5.997
Pt Al La Zn
6 2 2 2
Cartesian
0.435 -5.518 3.818 Pt
2.520 -5.116 0.063 Pt
1.697 -1.121 0.040 Pt
-0.845 -1.199 2.249 Pt
0.110 -3.524 0.007 Pt
4.107 -2.713 0.097 Pt
0.489 -5.520 1.438 Al
-0.899 -1.196 4.630 Al
-2.460 -3.601 3.423 La
2.049 -3.116 2.644 La
1.977 -3.112 5.788 Zn
-2.388 -3.605 0.279 Zn
```

(2)
Below is La3Al2ZnPt9 after structural relaxation, with properties calculated at the PBE-GGA level.

Output
- E_form (eV per atom) = -0.837
- SG = P-3m1
- VASP energy (eV/atom) = -6.0309

```
La3Al2ZnPt9
1.0
5.758 0.000 0.000
-2.879 4.986 0.000
0.000 0.000 11.436
Pt Zn La Al
9 1 3 2
Cartesian
4.327 0.826 7.691 Pt
1.448 4.160 3.744 Pt
-1.439 2.493 0.000 Pt
1.431 0.826 7.691 Pt
1.439 2.493 0.000 Pt
0.000 1.652 3.744 Pt
2.879 3.334 7.691 Pt
-1.448 4.160 3.744 Pt
2.879 0.000 0.000 Pt
0.000 0.000 5.718 Zn
2.879 1.662 2.989 La
0.000 3.324 8.446 La
0.000 0.000 0.000 La
2.879 1.662 9.526 Al
0.000 3.324 1.909 Al
```

(3)
Below is La2Al3ZnPt4 after structural relaxation, with properties calculated at the PBE-GGA level.

Output
- E_form (eV per atom) = -1.053
- SG = P-4m2
- VASP energy (eV/atom) = -5.7054

```
La2Al3ZnPt4
1.0
4.358 0.000 0.000
0.000 4.358 0.000
0.000 0.000 10.392
Al La Pt Zn
3 2 4 1
Cartesian
2.179 0.000 9.116 Al
0.000 2.179 1.276 Al
0.000 0.000 5.196 Al
0.000 2.179 7.781 La
2.179 0.000 2.611 La
0.000 2.179 3.787 Pt
2.179 2.179 0.000 Pt
2.179 0.000 6.605 Pt
0.000 0.000 0.000 Pt
2.179 2.179 5.196 Zn
```

(4)
Below is La2Al4ZnPt3 after structural relaxation, with properties calculated at the PBE-GGA level.

Output
- E_form (eV per atom) = -0.974
- SG = P-4m2
- VASP energy (eV/atom) = -5.3964

```
La2Al4ZnPt3
1.0
-2.247 2.078 -3.084
0.604 -3.352 -2.698
-8.889 -4.418 3.500
Al Pt La Zn
4 3 2 1
Cartesian
-2.985 -3.309 -0.055 Al
-0.822 -0.637 -2.891 Al
-6.726 -1.746 0.664 Al
0.000 0.000 0.000 Al
-8.858 -2.806 1.504 Pt
-0.853 -2.250 -0.894 Pt
-4.445 -2.209 1.750 Pt
-6.371 -4.992 1.279 La
-3.340 -0.063 -0.669 La
-5.266 -2.846 -1.141 Zn
```